# 1
Below is crystalline Ce4Pr3DyTe8 at its relaxed geometry, with properties calculated at the PBE-GGA level.

a = 9.0128 Å, b = 9.0128 Å, c = 9.0128 Å
α = 59.54°, β = 59.54°, γ = 59.54°
Closest atoms and distances in Å follow each position.
Positions (direct):
Ce: 0.0000 0.0000 0.0000  6 Te 3.23
Ce: 0.0000 0.5000 0.5000  6 Te 3.16
Ce: 0.5000 0.0000 0.5000  6 Te 3.16
Ce: 0.5000 0.5000 0.0000  6 Te 3.16
Pr: 0.0000 0.0000 0.5000  6 Te 3.19
Pr: 0.0000 0.5000 0.0000  6 Te 3.19
Pr: 0.5000 0.0000 0.0000  6 Te 3.19
Dy: 0.5000 0.5000 0.5000  6 Te 3.12
Te: 0.2511 0.2511 0.2511  3 Ce 3.16, 3 Pr 3.19
Te: 0.2541 0.2541 0.7438  1 Dy 3.12, 3 Ce 3.16-3.23, 2 Pr 3.19
Te: 0.2541 0.7438 0.2541  1 Dy 3.12, 3 Ce 3.16-3.23, 2 Pr 3.19
Te: 0.2562 0.7459 0.7459  1 Dy 3.12, 3 Ce 3.16-3.23, 2 Pr 3.19
Te: 0.7438 0.2541 0.2541  1 Dy 3.12, 3 Ce 3.16-3.23, 2 Pr 3.19
Te: 0.7459 0.2562 0.7459  1 Dy 3.12, 3 Ce 3.16-3.23, 2 Pr 3.19
Te: 0.7459 0.7459 0.2562  1 Dy 3.12, 3 Ce 3.16-3.23, 2 Pr 3.19
Te: 0.7489 0.7489 0.7489  3 Ce 3.16, 3 Pr 3.19

- Symmetry: R-3m, No. 166
- Uncorrected formation energy: -22.2 eV per formula unit

=====

# 2
Below is crystalline Rb3MgSi2O6 at its relaxed geometry, with properties calculated at the PBE-GGA level.

a = 5.8218 Å, b = 5.8218 Å, c = 7.5100 Å
α = 90.00°, β = 90.00°, γ = 120.00°
Closest atoms and distances in Å follow each position.
Positions (direct):
Rb: 0.0000 0.0000 0.0000  6 O 3.02
Rb: 0.3333 0.6667 0.7336  6 O 2.95, 1 Si 3.22
Rb: 0.6667 0.3333 0.2664  6 O 2.95, 1 Si 3.22
Mg: 0.0000 0.0000 0.5000  6 O 2.19
Si: 0.3333 0.6667 0.3050  3 O 1.60
Si: 0.6667 0.3333 0.6950  3 O 1.60
O: 0.1751 0.3503 0.3268  1 Si 1.60
O: 0.1751 0.8249 0.3268  1 Si 1.60
O: 0.3503 0.1751 0.6732  1 Si 1.60
O: 0.6497 0.8249 0.3268  1 Si 1.60
O: 0.8249 0.1751 0.6732  1 Si 1.60
O: 0.8249 0.6497 0.6732  1 Si 1.60

- Symmetry: P-3m1, No. 164
- Uncorrected formation energy: -25.0 eV per formula unit

=====

# 3
Below is crystalline Th5Sn2Ru2 at its relaxed geometry, with properties calculated at the PBE-GGA level.

a = 10.1993 Å, b = 10.1993 Å, c = 10.1993 Å
α = 67.37°, β = 125.75°, γ = 143.17°
Closest atoms and distances in Å follow each position.
Positions (direct):
Th: 0.0849 0.3428 0.0396  2 Ru 2.75-2.79
Th: 0.0849 0.5453 0.2421  2 Ru 2.75-2.79
Th: 0.2096 0.0589 0.2685  2 Ru 2.87-3.19
Th: 0.2096 0.4411 0.6507  2 Ru 2.87-3.19
Th: 0.3032 0.0453 0.9604  2 Ru 2.75-2.79
Th: 0.3032 0.8428 0.7579  2 Ru 2.75-2.79
Th: 0.6030 0.4446 0.6584  1 Ru 2.68
Th: 0.7863 0.9446 0.3416  1 Ru 2.68
Th: 0.7904 0.5589 0.3493  2 Ru 2.87-3.19
Th: 0.7904 0.9411 0.7315  2 Ru 2.87-3.19
Sn: 0.6128 0.0973 0.3504  1 Ru 2.95, 1 Sn 3.07, 2 Th 3.20-3.22
Sn: 0.6128 0.7624 0.0155  1 Ru 2.95, 1 Sn 3.07, 2 Th 3.20-3.22
Sn: 0.7469 0.2624 0.6496  1 Ru 2.95, 1 Sn 3.07, 2 Th 3.20-3.22
Sn: 0.7469 0.5973 0.9845  1 Ru 2.95, 1 Sn 3.07, 2 Th 3.20-3.22
Ru: 0.0518 0.9228 0.6290  3 Th 2.68-2.75
Ru: 0.2881 0.2881 0.0000  4 Th 2.79-2.87, 2 Sn 2.95
Ru: 0.2881 0.7881 0.5000  4 Th 2.79-2.87, 2 Sn 2.95
Ru: 0.2938 0.4228 0.3710  3 Th 2.68-2.75

- Symmetry: Ima2, No. 46
- Formation enthalpy at 0 K: -0.36 eV per atom